Below is a geometry-optimized CsAuO structure, with properties calculated at the PBE-GGA level.

Cell: 8.0072 8.0072 8.0072 Å, 98.95 98.95 133.53°
With the nearest neighbours (Å) after each atom.
Sites, in units of the cell vectors:
Au1 0.1447 0.8553 0.0000  2 O 2.06
Au2 0.8553 0.1447 0.0000  2 O 2.06
Au3 0.8553 0.8553 0.7107  2 O 2.06
Au4 0.1447 0.1447 0.2893  2 O 2.06
Cs1 0.8013 0.5000 0.3013  4 O 3.08-3.17
Cs2 0.5000 0.8013 0.3013  4 O 3.08-3.17
Cs3 0.5000 0.1987 0.6987  4 O 3.08-3.17
Cs4 0.1987 0.5000 0.6987  4 O 3.08-3.17
O1 0.0000 0.2802 0.2802  2 Au 2.06
O2 0.7198 0.0000 0.7198  2 Au 2.06
O3 0.2802 0.0000 0.2802  2 Au 2.06
O4 0.0000 0.7198 0.7198  2 Au 2.06

Results
The value obtained for the total energy is -3.871 eV/atom. For the total magnetization, the calculation gives 0.0 μB per formula unit. The calculation puts the uncorrected formation energy at -0.8410 eV per atom.


Below is a geometry-optimized Pr2AgRh2 structure, with properties calculated at the PBE-GGA level.

Cell: 3.9409 7.5842 7.5842 Å, 90.00 90.00 90.00°
With the nearest neighbours (Å) after each atom.
Sites, in units of the cell vectors:
Rh1 0.0000 0.3686 0.8686  1 Rh 2.82, 6 Pr 2.89-3.04, 2 Ag 2.97
Rh2 0.0000 0.6314 0.1314  1 Rh 2.82, 6 Pr 2.89-3.04, 2 Ag 2.97
Rh3 0.0000 0.1314 0.3686  1 Rh 2.82, 6 Pr 2.89-3.04, 2 Ag 2.97
Rh4 0.0000 0.8686 0.6314  1 Rh 2.82, 6 Pr 2.89-3.04, 2 Ag 2.97
Pr1 0.5000 0.6714 0.8286  6 Rh 2.89-3.04
Pr2 0.5000 0.1714 0.6714  6 Rh 2.89-3.04
Pr3 0.5000 0.8286 0.3286  6 Rh 2.89-3.04
Pr4 0.5000 0.3286 0.1714  6 Rh 2.89-3.04
Ag1 0.0000 0.0000 0.0000  4 Rh 2.97
Ag2 0.0000 0.5000 0.5000  4 Rh 2.97

Results
The density of states at the Fermi level is 5.41 states/eV per cell. The value obtained for the total energy is -5.944 eV/atom. For the distance to the lowest polymorph of the same formula, the calculation gives 15.6 meV per atom. For the total magnetization, the calculation gives 0.0 μB per formula unit. As for the formation energy: -522 meV per atom.


Q: What is the formula in the first record?
A: CsAuO